Compound: SrSn2Te2
Source: Alexandria via LeMat-Bulk
Functional: PBE
Structure: relaxed

Unit cell a=8.621 b=8.621 c=4.551 alpha=90.00 beta=90.00 gamma=90.00
Sites, in units of the cell vectors:
Sr 0.000 0.000 0.000
Sr 0.500 0.500 0.000
Te 0.344 0.844 0.000
Te 0.844 0.656 0.000
Te 0.656 0.156 0.000
Te 0.156 0.344 0.000
Sn 0.173 0.673 0.500
Sn 0.673 0.827 0.500
Sn 0.827 0.327 0.500
Sn 0.327 0.173 0.500

Computed properties:
As for the density of states at the Fermi level: 1.5 states/eV/f.u. Its energy relative to the elements, uncorrected is -456 meV/atom. The calculation puts the energy above the most stable polymorph in this dataset at 104.3 meV/atom.